Density functional theory data (PBE-GGA) for a relaxed structure of La2Tb3CeTe6.

Cell lengths 19.4986, 4.4310, 9.0002 Å; angles 90.00, 103.96, 90.00 degrees
Space group C2/m (No. 12)
Asymmetric unit:
La  0.1655  0.0000  0.3319 (multiplicity 4)
Tb  0.0000  0.5000  0.5000 (multiplicity 2)
Tb  0.1685  0.0000  0.8351 (multiplicity 4)
Ce  0.0000  0.5000  0.0000 (multiplicity 2)
Te  0.0045  0.0000  0.7454 (multiplicity 4)
Te  0.1637  0.5000  0.5922 (multiplicity 4)
Te  0.1681  0.5000  0.0740 (multiplicity 4)

Properties
V: 31.44 Å³/atom
formation energy (no corrections): -1.4210 eV per atom